<A>
Here is an optimized crystal structure of IrPd3Se from the Alexandria database. Energies are from PBE-GGA.

Fermi-level density of states: 7.08 states/eV/f.u.

a = 4.6010 Å, b = 4.6010 Å, c = 4.6010 Å
α = 90.00°, β = 90.00°, γ = 90.00°
Atoms (fractional coordinates):
Ir (0.0000, 0.0000, 0.0000)
Pd (0.0000, 0.5000, 0.5000)
Pd (0.5000, 0.0000, 0.5000)
Pd (0.5000, 0.5000, 0.0000)
Se (0.5000, 0.5000, 0.5000)



<B>
Here is an optimized crystal structure of IrPd3Se from the Alexandria database. Energies are from PBE-GGA.

Fermi-level density of states: 8.67 states/eV/f.u.

a = 4.8307 Å, b = 4.8307 Å, c = 4.8307 Å
α = 90.00°, β = 90.00°, γ = 90.00°
Atoms (fractional coordinates):
Ir (0.0000, 0.0000, 0.0000)
Pd (0.0000, 0.0000, 0.5000)
Pd (0.0000, 0.5000, 0.0000)
Pd (0.5000, 0.0000, 0.0000)
Se (0.5000, 0.5000, 0.5000)



Stability summary - winner: <A>; margin: 328 meV/atom.